{"formula": "CrRh3F", "functional": "GGA+U", "state": "relaxed", "e_above_lowest_polymorph_mev_per_atom": 0, "space_group": "Pm-3m, No. 221", "cell": [[4.1901, 0.0000, 0.0000], [0.0000, 4.1901, 0.0000], [0.0000, 0.0000, 4.1901]], "species": ["Cr", "Rh", "Rh", "Rh", "F"], "frac_coords": [[0.5000, 0.5000, 0.5000], [0.0000, 0.5000, 0.0000], [0.0000, 0.0000, 0.5000], [0.5000, 0.0000, 0.0000], [0.0000, 0.0000, 0.0000]]}